Record 1
First-principles (PBE-GGA) data for an optimized crystal structure of Pm5Pr12Dy2, as listed in Alexandria via LeMat-Bulk.

Calculated values
polymorph energy (0 for the lowest one): 0.034 eV per atom
space-group type: C2/m (12)

```
Pm5Pr12Dy2
1.0
7.5753 0.0000 0.0000
-3.7876 8.8516 3.9194
0.0000 0.2425 10.2311
Pr Pm Dy
12 5 2
direct
0.0755 0.6678 0.5023
0.4925 0.9851 0.3264
0.5923 0.6678 0.5023
0.9099 0.3192 0.1485
0.4093 0.3192 0.1485
0.5907 0.6808 0.8515
0.4077 0.3322 0.4977
0.0095 0.0190 0.7831
0.5075 0.0149 0.6736
0.9245 0.3322 0.4977
0.0901 0.6808 0.8515
0.9905 0.9810 0.2169
0.3227 0.6454 0.1984
0.8240 0.6480 0.1713
0.1760 0.3520 0.8287
0.6773 0.3546 0.8016
0.0000 0.0000 0.5000
0.7020 0.0000 0.0000
0.2980 0.0000 0.0000
```



Record 2
First-principles (PBE-GGA) data for an optimized crystal structure of PmPr5Dy8, as listed in Alexandria via LeMat-Bulk.

Calculated values
uncorrected energy: -4.629 eV per atom
space-group type: C2/m (12)

```
PmPr5Dy8
1.0
3.5036 0.0000 -0.6852
0.4464 16.8025 2.2828
-0.1752 3.0378 8.4040
Dy Pr Pm
8 5 1
direct
0.2164 0.8535 0.4329
0.1464 0.5612 0.2929
0.5813 0.7761 0.1626
0.9221 0.7223 0.8442
0.0779 0.2777 0.1558
0.4187 0.2239 0.8374
0.7836 0.1465 0.5672
0.8535 0.4388 0.7070
0.6446 0.0600 0.2891
0.0000 0.0000 0.0000
0.7129 0.3568 0.4258
0.3555 0.9400 0.7109
0.2871 0.6432 0.5741
0.5000 0.5000 0.0000
```



Record 3
First-principles (PBE-GGA) data for an optimized crystal structure of Pm12Pr5Dy2, as listed in Alexandria via LeMat-Bulk.

Calculated values
polymorph energy (0 for the lowest one): 0.000 eV per atom
space-group type: C2/m (12)

```
Pm12Pr5Dy2
1.0
-2.6590 2.0470 5.3167
8.7934 2.1892 5.9475
2.8710 10.4503 -0.1950
Pm Dy Pr
12 2 5
direct
0.8006 0.4512 0.9425
0.2738 0.4475 0.4475
0.0030 0.1194 0.1194
0.7262 0.5525 0.5525
0.6181 0.1519 0.6432
0.3819 0.3568 0.8481
0.6181 0.6432 0.1519
0.1994 0.5488 0.0575
0.9970 0.8806 0.8806
0.8006 0.9425 0.4512
0.3819 0.8481 0.3568
0.1994 0.0575 0.5488
0.0000 0.2297 0.7703
0.0000 0.7703 0.2297
0.5539 0.7854 0.7854
0.5000 0.0000 0.0000
0.8574 0.3243 0.3243
0.4461 0.2146 0.2146
0.1426 0.6757 0.6757
```



| no. | D(E_F) (states/eV per cell) | ρ (g/cm3) |
| --- | --- | --- |
| 1 | 30.623 | 6.7 |
| 2 | 19.352 | 7.6 |
| 3 | 28.460 | 7.0 |